Entry 1:
Material: BeNi2Bi
Method: DFT, GGA-PBE
State: relaxed

The value obtained for the density is 9914 kg/m³. As for the uncorrected energy: -4.385 eV/atom.

a = 6.080 Å, b = 6.080 Å, c = 6.080 Å
α = 90.00°, β = 90.00°, γ = 90.00°
Space group F-43m (No. 216)
Asymmetric unit:
1 Be 0.000 0.000 0.000 x4
2 Ni 0.000 0.000 0.500 x4
3 Ni 0.250 0.250 0.750 x4
4 Bi 0.250 0.250 0.250 x4

=====

Entry 2:
Material: TlCoCuW
Method: DFT, GGA-PBE
State: relaxed

The value obtained for the density is 14266 kg/m³. As for the uncorrected energy: -5.874 eV/atom. The energy above the lowest structure with this stoichiometry comes out at 0.0 kJ/mol of formula units.

a = 6.195 Å, b = 6.195 Å, c = 6.195 Å
α = 90.00°, β = 90.00°, γ = 90.00°
Space group F-43m (No. 216)
Asymmetric unit:
1 Tl 0.000 0.000 0.000 x4
2 Co 0.250 0.250 0.250 x4
3 Cu 0.250 0.250 0.750 x4
4 W 0.000 0.000 0.500 x4

=====

Entry 3:
Material: SmIn2CuPd
Method: DFT, GGA-PBE
State: relaxed

The value obtained for the density is 8457 kg/m³. As for the uncorrected energy: -4.235 eV/atom.

a = 4.378 Å, b = 4.378 Å, c = 11.267 Å
α = 90.00°, β = 90.00°, γ = 90.00°
Space group P4/nmm (No. 129, origin choice 2)
Asymmetric unit:
1 Sm 0.250 0.250 0.248 x2
2 In 0.250 0.250 0.639 x2
3 In 0.250 0.750 0.000 x2
4 Cu 0.250 0.250 0.863 x2
5 Pd 0.250 0.750 0.500 x2

=====

Entry 4:
Material: Zr4Nb2Bi3C3
Method: DFT, GGA-PBE
State: relaxed

The value obtained for the density is 9154 kg/m³. As for the uncorrected energy: -8.356 eV/atom.

a = 10.395 Å, b = 6.019 Å, c = 14.495 Å
α = 90.00°, β = 103.81°, γ = 90.00°
Space group C2/c (No. 15)
Asymmetric unit:
1 Zr 0.112 0.081 0.084 x8
2 Zr 0.220 0.084 0.416 x8
3 Nb 0.060 0.415 0.926 x8
4 Bi 0.000 0.095 0.750 x4
5 Bi 0.161 0.422 0.249 x8
6 C 0.082 0.254 0.500 x8
7 C 0.250 0.250 0.000 x4

=====

Entry 5:
Material: K2LiPdF6
Method: DFT, GGA-PBE
State: relaxed

The value obtained for the density is 4010 kg/m³. As for the uncorrected energy: -4.281 eV/atom. The energy above the lowest structure with this stoichiometry comes out at 4.2 kJ/mol of formula units.

a = 5.571 Å, b = 5.571 Å, c = 8.153 Å
α = 90.00°, β = 90.00°, γ = 90.00°
Space group I4/m (No. 87)
Asymmetric unit:
1 K 0.000 0.500 0.250 x4
2 Li 0.000 0.000 0.000 x2
3 Pd 0.000 0.000 0.500 x2
4 F 0.000 0.000 0.237 x4
5 F 0.230 0.270 0.000 x8

=====

Entry 6:
Material: Cs2ErTmS4
Method: DFT, GGA-PBE
State: relaxed

The value obtained for the density is 5328 kg/m³. As for the uncorrected energy: -5.237 eV/atom.

a = 4.0504 Å, b = 4.0504 Å, c = 16.0194 Å
α = 90.00°, β = 90.00°, γ = 120.00°
Space group P-3m1 (No. 164)
Asymmetric unit:
1 Cs 0.3333 0.6667 0.2500 x2
2 Er 0.0000 0.0000 0.0000 x1
3 Tm 0.0000 0.0000 0.5000 x1
4 S 0.3333 0.6667 0.5904 x2
5 S 0.3333 0.6667 0.9093 x2

=====

Entry 7:
Material: NaSmPb
Method: DFT, GGA-PBE
State: relaxed

The value obtained for the density is 6259 kg/m³. As for the uncorrected energy: -3.469 eV/atom.

a = 7.392 Å, b = 7.392 Å, c = 7.392 Å
α = 90.00°, β = 90.00°, γ = 90.00°
Space group F-43m (No. 216)
Asymmetric unit:
1 Na 0.000 0.000 0.000 x4
2 Sm 0.000 0.000 0.500 x4
3 Pb 0.250 0.250 0.250 x4

=====

Entry 8:
Material: ScCuReBi
Method: DFT, GGA-PBE
State: relaxed

The value obtained for the density is 11466 kg/m³. As for the uncorrected energy: -6.243 eV/atom. The energy above the lowest structure with this stoichiometry comes out at 0.0 kJ/mol of formula units.

a = 6.633 Å, b = 6.633 Å, c = 6.633 Å
α = 90.00°, β = 90.00°, γ = 90.00°
Space group F-43m (No. 216)
Asymmetric unit:
1 Sc 0.000 0.000 0.000 x4
2 Cu 0.250 0.250 0.250 x4
3 Re 0.250 0.250 0.750 x4
4 Bi 0.000 0.000 0.500 x4

=====

Entry 9:
Material: NaSrTbSe3
Method: DFT, GGA-PBE
State: relaxed

The value obtained for the density is 4816 kg/m³. As for the uncorrected energy: -4.659 eV/atom. The energy above the lowest structure with this stoichiometry comes out at 66.3 kJ/mol of formula units.

a = 14.242 Å, b = 4.289 Å, c = 11.434 Å
α = 90.00°, β = 90.00°, γ = 90.00°
Space group Pnma (No. 62)
Asymmetric unit:
1 Na 0.009 0.250 0.088 x4
2 Sr 0.245 0.750 0.982 x4
3 Tb 0.011 0.750 0.339 x4
4 Se 0.108 0.750 0.563 x4
5 Se 0.112 0.250 0.872 x4
6 Se 0.134 0.250 0.264 x4

=====

Entry 10:
Material: AlTc2Pd
Method: DFT, GGA-PBE
State: relaxed

The value obtained for the density is 9330 kg/m³. As for the uncorrected energy: -7.539 eV/atom.

a = 6.167 Å, b = 6.167 Å, c = 6.167 Å
α = 90.00°, β = 90.00°, γ = 90.00°
Space group F-43m (No. 216)
Asymmetric unit:
1 Al 0.000 0.000 0.000 x4
2 Tc 0.000 0.000 0.500 x4
3 Tc 0.250 0.250 0.750 x4
4 Pd 0.250 0.250 0.250 x4

=====

Entry 11:
Material: Ta2Hg
Method: DFT, GGA-PBE
State: relaxed

The value obtained for the density is 15624 kg/m³. As for the uncorrected energy: -7.426 eV/atom.

a = 7.820 Å, b = 7.820 Å, c = 7.820 Å
α = 90.00°, β = 90.00°, γ = 90.00°
Space group Fd-3m (No. 227, origin choice 2)
Asymmetric unit:
1 Ta 0.000 0.000 0.000 x16
2 Hg 0.125 0.125 0.625 x8

=====

Entry 12:
Material: ReP
Method: DFT, GGA-PBE
State: relaxed

The value obtained for the density is 11699 kg/m³. As for the uncorrected energy: -8.817 eV/atom. The energy above the lowest structure with this stoichiometry comes out at 38.3 kJ/mol of formula units.

a = 3.7478 Å, b = 3.7478 Å, c = 5.0682 Å
α = 90.00°, β = 90.00°, γ = 120.00°
Space group P6_3/mmc (No. 194)
Asymmetric unit:
1 Re 0.0000 0.0000 0.0000 x2
2 P 0.3333 0.6667 0.2500 x2